Compound: Na2LaBiP
Source: Alexandria via LeMat-Bulk
Functional: GGA-PBEsol
Structure: relaxed

a = 6.9024 Å, b = 6.9024 Å, c = 5.8898 Å
α = 90.00°, β = 90.00°, γ = 90.00°
Last column: nearest neighbours and their distance in Å.
Element x y z (fractional)
Na 0.0000 0.5000 0.0000  2 La 3.45
Na 0.5000 0.0000 0.0000  2 La 3.45
La 0.0000 0.0000 0.0000  2 Bi 2.94
Bi 0.0000 0.0000 0.5000  2 La 2.94
P 0.5000 0.5000 0.5000  8 Na 4.54, 4 Bi 4.88

E = -2.488 eV per atom
M_tot = 2.75 μB/f.u.
Space-group type = P4/mmm (123)
Calculated formation energy = 1156 meV per atom